*i*
The following is a PBE-GGA calculation of a relaxed structure of SrFe2I, from Alexandria.

The space group is Fm-3m (No. 225) and the conventional cell measures 7.040, 7.040 and 7.040 Å, with angles of 90.00, 90.00 and 90.00 degrees. Symmetry generates all atoms from Sr at (0.000, 0.000, 0.000), Fe at (0.250, 0.250, 0.250) and I at (0.000, 0.000, 0.500).

=====

*ii*
The following is a PBE-GGA calculation of a relaxed structure of SrFe2I, from Alexandria.

The space group is I-42d (No. 122) and the conventional cell measures 8.244, 8.244 and 6.069 Å, with angles of 90.00, 90.00 and 90.00 degrees. Symmetry generates all atoms from Sr at (0.000, 0.000, 0.000), Fe at (0.196, 0.250, 0.625) and I at (0.000, 0.000, 0.500).

=====

Which structure is the most stable? The one labeled *ii*.

=====

*i*
The following is a PBE-GGA calculation of a relaxed structure of SrFeTe2I, from Alexandria.

The space group is P4/mmm (No. 123) and the conventional cell measures 5.193, 5.193 and 5.900 Å, with angles of 90.00, 90.00 and 90.00 degrees. Symmetry generates all atoms from Sr at (0.000, 0.000, 0.000), Fe at (0.500, 0.500, 0.500), Te at (0.000, 0.500, 0.500) and I at (0.500, 0.500, 0.000).

=====

*ii*
The following is a PBE-GGA calculation of a relaxed structure of SrFeTe2I, from Alexandria.

The space group is P4/mmm (No. 123) and the conventional cell measures 6.225, 6.225 and 6.147 Å, with angles of 90.00, 90.00 and 90.00 degrees. Symmetry generates all atoms from Sr at (0.000, 0.000, 0.000), Fe at (0.500, 0.500, 0.500), Te at (0.000, 0.500, 0.000) and I at (0.000, 0.000, 0.500).

=====

Which structure is the most stable? The one labeled *i*.

=====

*i*
The following is a PBE-GGA calculation of a relaxed structure of SrFeTeI2, from Alexandria.

The space group is P4/mmm (No. 123) and the conventional cell measures 5.521, 5.521 and 5.383 Å, with angles of 90.00, 90.00 and 90.00 degrees. Symmetry generates all atoms from Sr at (0.000, 0.000, 0.000), Fe at (0.500, 0.500, 0.500), Te at (0.500, 0.500, 0.000) and I at (0.000, 0.500, 0.500).

=====

*ii*
The following is a PBE-GGA calculation of a relaxed structure of SrFeTeI2, from Alexandria.

The space group is P4/mmm (No. 123) and the conventional cell measures 6.288, 6.288 and 6.474 Å, with angles of 90.00, 90.00 and 90.00 degrees. Symmetry generates all atoms from Sr at (0.000, 0.000, 0.000), Fe at (0.500, 0.500, 0.500), Te at (0.000, 0.000, 0.500) and I at (0.000, 0.500, 0.000).

=====

Which structure is the most stable? The one labeled *i*.

=====

*i*
The following is a PBE-GGA calculation of a relaxed structure of TaFeI2, from Alexandria.

The space group is I-42d (No. 122) and the conventional cell measures 6.149, 6.149 and 10.994 Å, with angles of 90.00, 90.00 and 90.00 degrees. Symmetry generates all atoms from Ta at (0.000, 0.000, 0.000), Fe at (0.000, 0.000, 0.500) and I at (0.214, 0.250, 0.625).

=====

*ii*
The following is a PBE-GGA calculation of a relaxed structure of TaFeI2, from Alexandria.

The space group is Fm-3m (No. 225) and the conventional cell measures 6.767, 6.767 and 6.767 Å, with angles of 90.00, 90.00 and 90.00 degrees. Symmetry generates all atoms from Ta at (0.000, 0.000, 0.000), Fe at (0.000, 0.000, 0.500) and I at (0.250, 0.250, 0.250).

=====

Which structure is the most stable? The one labeled *ii*.